[1]
! PBE-GGA MgAlC3, optimized geometry; values from VASP
&SYSTEM
  ibrav = 0, nat = 5, ntyp = 3
/
ATOMIC_SPECIES
Mg 24.30 Mg.upf
Al 26.98 Al.upf
C 12.01 C.upf
CELL_PARAMETERS angstrom
3.928 0.000 0.000
0.000 3.928 0.000
0.000 0.000 3.928
ATOMIC_POSITIONS angstrom
Mg 0.000 0.000 0.000
Al 1.964 1.964 1.964
C 0.000 1.964 1.964
C 1.964 0.000 1.964
C 1.964 1.964 0.000
! - Formation energy: 1.898 eV/atom
! - Crystal system: cubic
! - Raw total energy: -4.704 eV per atom
! - N(E_F): 0.5322 states/eV per atom

[2]
! PBE-GGA La2NbTlRe, optimized geometry; values from VASP
&SYSTEM
  ibrav = 0, nat = 5, ntyp = 4
/
ATOMIC_SPECIES
La 138.91 La.upf
Nb 92.91 Nb.upf
Tl 204.38 Tl.upf
Re 186.21 Re.upf
CELL_PARAMETERS angstrom
5.805 0.000 0.000
0.000 5.805 0.000
0.000 0.000 5.112
ATOMIC_POSITIONS angstrom
La 0.000 2.903 0.000
La 2.903 0.000 0.000
Nb 0.000 0.000 2.556
Tl 0.000 0.000 0.000
Re 2.903 2.903 2.556
! - Formation energy: 1.893 eV/atom
! - Crystal system: tetragonal
! - Raw total energy: -5.055 eV per atom
! - N(E_F): 2.7592 states/eV per atom

[3]
! PBE-GGA NaBi3As, optimized geometry; values from VASP
&SYSTEM
  ibrav = 0, nat = 5, ntyp = 3
/
ATOMIC_SPECIES
Na 22.99 Na.upf
Bi 208.98 Bi.upf
As 74.92 As.upf
CELL_PARAMETERS angstrom
5.664 0.000 0.000
0.000 5.664 0.000
0.000 0.000 5.664
ATOMIC_POSITIONS angstrom
Na 0.000 0.000 0.000
Bi 0.000 2.832 2.832
Bi 2.832 0.000 2.832
Bi 2.832 2.832 0.000
As 2.832 2.832 2.832
! - Formation energy: 0.311 eV/atom
! - Crystal system: cubic
! - Raw total energy: -3.212 eV per atom
! - N(E_F): 1.2414 states/eV per atom